# 1
Density functional theory data (PBE) for an optimized crystal structure of YTmSeO2.

Output
Crystal system: trigonal

Cell: 3.7939 3.7939 6.7273 Å, 90.00 90.00 120.00°
Fractional coordinates of all 5 atoms:
O1 0.3333 0.6667 0.3699
O2 0.6667 0.3333 0.6231
Se1 0.0000 0.0000 0.0034
Tm1 0.6667 0.3333 0.2921
Y1 0.3333 0.6667 0.7114

---

# 2
Density functional theory data (PBE) for an optimized crystal structure of ZrNiB.

Output
Crystal system: orthorhombic

Cell: 5.6324 5.3465 4.1795 Å, 71.30 64.04 44.66°
Fractional coordinates of all 6 atoms:
B1 0.7525 0.7525 0.2475
B2 0.2475 0.2475 0.7525
Ni1 0.2500 0.2500 0.2500
Ni2 0.7500 0.7500 0.7500
Zr1 0.7494 0.2506 0.2506
Zr2 0.2506 0.7494 0.7494

---

no.,total energy (eV per formula unit)
1,-39.9
2,-20.7